1.
Material: Y3InHg
Method: DFT, PBE
State: optimized geometry Values from VASP.

Properties
calculated volume	35.2	Å³ per atom
calculated density	5.50	g/cm³
space-group type	Pm-3m, No. 221
ΔH_f (0 K)	0.126	eV per atom
E above lowest polymorph	516	meV per atom

```
&SYSTEM
  ibrav = 0, nat = 5, ntyp = 3
/
ATOMIC_SPECIES
Hg 200.59 Hg.upf
Y 88.91 Y.upf
In 114.82 In.upf
CELL_PARAMETERS angstrom
-0.0294 3.4116 4.4438
-5.3106 -1.4323 1.0645
1.7843 -4.2067 3.2414
ATOMIC_POSITIONS crystal
Hg 0.0000 0.0000 0.0000
Y 0.0000 0.0000 0.5000
Y 0.5000 0.0000 0.0000
Y 0.0000 0.5000 0.0000
In 0.5000 0.5000 0.5000
```

***

2.
Material: Y3In4Hg2
Method: DFT, PBE
State: optimized geometry Values from VASP.

Properties
calculated volume	25.7	Å³ per atom
calculated density	8.09	g/cm³
space-group type	P-62m, No. 189
ΔH_f (0 K)	-0.397	eV per atom
E above lowest polymorph	30	meV per atom

```
&SYSTEM
  ibrav = 0, nat = 9, ntyp = 3
/
ATOMIC_SPECIES
Hg 200.59 Hg.upf
Y 88.91 Y.upf
In 114.82 In.upf
CELL_PARAMETERS angstrom
4.4357 0.0000 0.0000
0.0000 7.7604 0.0000
0.0000 -3.8802 6.7207
ATOMIC_POSITIONS crystal
Hg 0.0000 0.3333 0.6667
Hg 0.0000 0.6667 0.3333
Y 0.5000 0.5932 0.5932
Y 0.5000 0.4068 0.0000
Y 0.5000 0.0000 0.4068
In 0.0000 0.7395 0.0000
In 0.5000 0.0000 0.0000
In 0.0000 0.0000 0.7395
In 0.0000 0.2605 0.2605
```

***

3.
Material: YIn6Hg8
Method: DFT, PBE
State: optimized geometry Values from VASP.

Properties
calculated volume	28.2	Å³ per atom
calculated density	9.36	g/cm³
space-group type	R-3, No. 148
ΔH_f (0 K)	-0.039	eV per atom

```
&SYSTEM
  ibrav = 0, nat = 15, ntyp = 3
/
ATOMIC_SPECIES
In 114.82 In.upf
Hg 200.59 Hg.upf
Y 88.91 Y.upf
CELL_PARAMETERS angstrom
7.6060 0.4889 2.5489
1.9823 7.3594 2.5489
0.5973 0.4889 7.9995
ATOMIC_POSITIONS crystal
In 0.7238 0.4315 0.1092
In 0.1092 0.7238 0.4315
In 0.2762 0.5685 0.8908
In 0.8908 0.2762 0.5685
In 0.4315 0.1092 0.7238
In 0.5685 0.8908 0.2762
Hg 0.4069 0.7785 0.0656
Hg 0.5931 0.2215 0.9344
Hg 0.9344 0.5931 0.2215
Hg 0.3277 0.3277 0.3277
Hg 0.6723 0.6723 0.6723
Hg 0.0656 0.4069 0.7785
Hg 0.7785 0.0656 0.4069
Hg 0.2215 0.9344 0.5931
Y 0.0000 0.0000 0.0000
```

***

4.
Material: Y4InHg5
Method: DFT, PBE
State: optimized geometry Values from VASP.

Properties
calculated volume	25.5	Å³ per atom
calculated density	9.58	g/cm³
space-group type	P4/mmm, No. 123
ΔH_f (0 K)	-0.429	eV per atom

```
&SYSTEM
  ibrav = 0, nat = 10, ntyp = 3
/
ATOMIC_SPECIES
Y 88.91 Y.upf
Hg 200.59 Hg.upf
In 114.82 In.upf
CELL_PARAMETERS angstrom
3.7591 0.0000 0.0000
0.0000 3.7591 0.0000
0.0000 0.0000 18.0779
ATOMIC_POSITIONS crystal
Y 0.0000 0.0000 0.1936
Y 0.0000 0.0000 0.6018
Y 0.0000 0.0000 0.8064
Y 0.0000 0.0000 0.3982
Hg 0.5000 0.5000 0.7004
Hg 0.5000 0.5000 0.9018
Hg 0.5000 0.5000 0.5000
Hg 0.5000 0.5000 0.2996
Hg 0.5000 0.5000 0.0982
In 0.0000 0.0000 0.0000
```

***

5.
Material: YInHg3
Method: DFT, PBE
State: optimized geometry Values from VASP.

Properties
calculated volume	25.6	Å³ per atom
calculated density	10.45	g/cm³
space-group type	Pmmn, No. 59
ΔH_f (0 K)	-0.192	eV per atom
E above lowest polymorph	0	meV per atom

```
&SYSTEM
  ibrav = 0, nat = 10, ntyp = 3
/
ATOMIC_SPECIES
Hg 200.59 Hg.upf
In 114.82 In.upf
Y 88.91 Y.upf
CELL_PARAMETERS angstrom
4.6059 0.0000 0.0000
0.0000 7.3024 0.0000
0.0000 0.0000 7.6112
ATOMIC_POSITIONS crystal
Hg 0.5000 0.2092 0.7353
Hg 0.5000 0.5000 0.0610
Hg 0.0000 0.0000 0.9390
Hg 0.0000 0.7092 0.2647
Hg 0.0000 0.2908 0.2647
Hg 0.5000 0.7908 0.7353
In 0.5000 0.5000 0.4575
In 0.0000 0.0000 0.5425
Y 0.5000 0.0000 0.2109
Y 0.0000 0.5000 0.7891
```

***

6.
Material: Y3InHg
Method: DFT, PBE
State: optimized geometry Values from VASP.

Properties
calculated volume	27.9	Å³ per atom
calculated density	6.93	g/cm³
space-group type	Cmcm, No. 63
ΔH_f (0 K)	-0.389	eV per atom
E above lowest polymorph	0	meV per atom

```
&SYSTEM
  ibrav = 0, nat = 10, ntyp = 3
/
ATOMIC_SPECIES
Hg 200.59 Hg.upf
Y 88.91 Y.upf
In 114.82 In.upf
CELL_PARAMETERS angstrom
5.1759 0.0000 1.1828
0.0000 5.3090 0.0000
0.3839 0.0000 10.2364
ATOMIC_POSITIONS crystal
Hg 0.1730 0.2500 0.3024
Hg 0.4754 0.7500 0.6976
Y 0.7647 0.2500 0.1189
Y 0.8836 0.7500 0.8811
Y 0.3851 0.2500 0.8781
Y 0.2632 0.7500 0.1219
Y 0.5746 0.2500 0.4991
Y 0.0737 0.7500 0.5009
In 0.9783 0.2500 0.6917
In 0.6700 0.7500 0.3083
```

***

Among the records above, which one has the lowest ΔH_f (0 K)?
Y4InHg5